# 1
Compound: TlCr2Cu
Source: Alexandria
Functional: SCAN
Structure: single point on PBEsol structure

Unit cell a=3.391 b=3.819 c=4.952 alpha=112.68 beta=110.02 gamma=90.00
Positions (direct):
Cr1 0.753 0.753 0.507
Cr2 0.247 0.247 0.493
Cu1 0.500 0.000 0.000
Tl1 0.000 0.500 0.000

Calculated values
Calculated formation energy (eV/atom): 0.66
SG: Immm (71)


# 2
Compound: Al2TeSe
Source: Alexandria
Functional: SCAN
Structure: single point on PBEsol structure

Unit cell a=3.974 b=3.974 c=6.814 alpha=73.04 beta=73.04 gamma=60.00
Positions (direct):
Te1 0.000 0.000 0.000
Al1 0.244 0.244 0.267
Al2 0.756 0.756 0.733
Se1 0.500 0.500 0.500

Calculated values
Uncorrected formation energy (eV/atom): -0.2858
SG: R-3m (166)


# 3
Compound: YSeS2
Source: Alexandria
Functional: SCAN
Structure: single point on PBEsol structure

Unit cell a=3.910 b=3.910 c=8.115 alpha=76.06 beta=76.06 gamma=60.00
Positions (direct):
Y1 0.500 0.500 0.500
S1 0.896 0.896 0.311
S2 0.104 0.104 0.689
Se1 0.000 0.000 0.000

Calculated values
Uncorrected formation energy (eV/atom): -1.2050
SG: R-3m (166)


# 4
Compound: CrSbCI2
Source: Alexandria
Functional: SCAN
Structure: single point on PBEsol structure

Unit cell a=5.102 b=5.271 c=5.271 alpha=90.00 beta=90.00 gamma=90.00
Positions (direct):
I1 0.000 0.000 0.500
I2 0.000 0.500 0.000
Sb1 0.500 0.000 0.000
C1 0.500 0.500 0.500
Cr1 0.000 0.000 0.000

Calculated values
Uncorrected formation energy (eV/atom): 1.5283
SG: P4/mmm (123)


# 5
Compound: Sc2TlPb
Source: Alexandria
Functional: SCAN
Structure: single point on PBEsol structure

Unit cell a=3.296 b=4.218 c=6.548 alpha=90.00 beta=90.00 gamma=90.00
Positions (direct):
Pb1 0.500 0.500 0.500
Sc1 0.000 0.000 0.755
Sc2 0.000 0.000 0.245
Tl1 0.500 0.500 0.000

Calculated values
Calculated formation energy (eV/atom): -0.50
SG: Pmmm (47)


# 6
Compound: LiEu2Tl
Source: Alexandria
Functional: SCAN
Structure: single point on PBEsol structure

Unit cell a=5.491 b=5.491 c=5.491 alpha=60.00 beta=60.00 gamma=60.00
Positions (direct):
Eu1 0.750 0.750 0.750
Eu2 0.250 0.250 0.250
Tl1 0.000 0.000 0.000
Li1 0.500 0.500 0.500

Calculated values
Calculated formation energy (eV/atom): -0.34
SG: Fm-3m (225)


# 7
Compound: TaSiP2
Source: Alexandria
Functional: SCAN
Structure: single point on PBEsol structure

Unit cell a=3.368 b=3.427 c=5.567 alpha=90.00 beta=107.61 gamma=90.00
Positions (direct):
P1 0.012 0.500 0.024
P2 0.290 0.000 0.579
Si1 0.504 0.000 0.008
Ta1 0.694 0.500 0.389

Calculated values
Uncorrected formation energy (eV/atom): -0.2913
SG: Amm2 (38)


# 8
Compound: Li2MgSi
Source: Alexandria
Functional: SCAN
Structure: single point on PBEsol structure

Unit cell a=2.765 b=5.267 c=5.317 alpha=116.67 beta=99.88 gamma=100.29
Positions (direct):
Si1 0.500 0.000 0.000
Mg1 0.000 0.500 0.000
Li1 0.000 0.000 0.500
Li2 0.500 0.500 0.500

Calculated values
Uncorrected formation energy (eV/atom): 0.0052
SG: C2/m (12)


no.,final energy (eV per atom)
1,-30.422
2,-18.494
3,-17.999
4,-26.317
5,-44.649
6,-45.886
7,-24.640
8,-4.937